## Tb2GdHf (PBE-GGA)

Data for crystalline Tb2GdHf at its relaxed geometry.

Computed properties:
M_tot, μB per atom: 1.858
Space group: No. 166

a b c (Å): 11.529 11.529 11.529
angles (deg): 17.12 17.12 17.12
Fractional coordinates of all 4 atoms:
Tb: 0.244 0.244 0.244
Tb: 0.756 0.756 0.756
Gd: 0.000 0.000 0.000
Hf: 0.500 0.500 0.500

## TbGdHf2 (PBE-GGA)

Data for crystalline TbGdHf2 at its relaxed geometry.

Computed properties:
M_tot, μB per atom: 1.776
Space group: No. 123

a b c (Å): 4.658 4.658 4.823
angles (deg): 90.00 90.00 90.00
Fractional coordinates of all 4 atoms:
Tb: 0.000 0.000 0.000
Gd: 0.500 0.500 0.000
Hf: 0.000 0.500 0.500
Hf: 0.500 0.000 0.500

## TbGdHf (PBE-GGA)

Data for crystalline TbGdHf at its relaxed geometry.

Computed properties:
M_tot, μB per atom: 2.445
Space group: No. 156

a b c (Å): 3.393 3.393 8.485
angles (deg): 90.00 90.00 120.00
Fractional coordinates of all 3 atoms:
Tb: 0.000 0.000 0.000
Gd: 0.333 0.667 0.621
Hf: 0.667 0.333 0.309

## Tb2GdHf (PBE-GGA)

Data for crystalline Tb2GdHf at its relaxed geometry.

Computed properties:
M_tot, μB per atom: 1.881
Space group: No. 123

a b c (Å): 3.967 3.967 7.464
angles (deg): 90.00 90.00 90.00
Fractional coordinates of all 4 atoms:
Tb: 0.000 0.000 0.218
Tb: 0.000 0.000 0.782
Gd: 0.500 0.500 0.500
Hf: 0.500 0.500 0.000

## Tb2GdHf (PBE-GGA)

Data for crystalline Tb2GdHf at its relaxed geometry.

Computed properties:
M_tot, μB per atom: 1.754
Space group: No. 123

a b c (Å): 4.862 4.862 4.857
angles (deg): 90.00 90.00 90.00
Fractional coordinates of all 4 atoms:
Tb: 0.000 0.500 0.000
Tb: 0.500 0.000 0.000
Gd: 0.000 0.000 0.500
Hf: 0.500 0.500 0.500

## GdHfTc4 (PBE-GGA)

Data for crystalline GdHfTc4 at its relaxed geometry.

Computed properties:
M_tot, μB per atom: 1.026
Space group: No. 216

a b c (Å): 5.337 5.337 5.337
angles (deg): 60.00 60.00 60.00
Fractional coordinates of all 6 atoms:
Gd: 0.000 0.000 0.000
Hf: 0.250 0.250 0.250
Tc: 0.126 0.625 0.625
Tc: 0.625 0.126 0.625
Tc: 0.625 0.625 0.126
Tc: 0.625 0.625 0.625

## GdHfTc2 (PBE-GGA)

Data for crystalline GdHfTc2 at its relaxed geometry.

Computed properties:
M_tot, μB per atom: 1.687
Space group: No. 225

a b c (Å): 4.731 4.731 4.731
angles (deg): 60.00 60.00 60.00
Fractional coordinates of all 4 atoms:
Gd: 0.000 0.000 0.000
Hf: 0.500 0.500 0.500
Tc: 0.250 0.250 0.250
Tc: 0.750 0.750 0.750

## GdHfTc2 (PBE-GGA)

Data for crystalline GdHfTc2 at its relaxed geometry.

Computed properties:
M_tot, μB per atom: 1.696
Space group: No. 123

a b c (Å): 3.333 3.333 6.794
angles (deg): 90.00 90.00 90.00
Fractional coordinates of all 4 atoms:
Gd: 0.000 0.000 0.000
Hf: 0.000 0.000 0.500
Tc: 0.500 0.500 0.270
Tc: 0.500 0.500 0.730

no.,DFT formation energy (eV/atom)
1,0.122
2,0.199
3,0.142
4,0.214
5,0.142
6,-0.157
7,-0.066
8,-0.093